{
  "formula": "MgTeMoN2",
  "functional": "PBE",
  "state": "relaxed",
  "raw_formation_energy_ev_per_atom": 0.21,
  "space_group": "P4/mmm, No. 123",
  "lattice_angstrom": [[3.963, 0.000, 0.000], [0.000, 3.963, 0.000], [0.000, 0.000, 5.746]],
  "species": ["Mo", "N", "Mg", "N", "Te"],
  "frac_coords": [[0.000, 0.000, 0.000], [0.000, 0.500, 0.000], [0.500, 0.500, 0.500], [0.500, 0.000, 0.000], [0.000, 0.000, 0.500]]
}



{
  "formula": "Mg2TiMoN4",
  "functional": "PBE",
  "state": "relaxed",
  "raw_formation_energy_ev_per_atom": -0.96,
  "space_group": "P2/m, No. 10",
  "lattice_angstrom": [[-0.382, -1.320, 2.660], [-3.719, -3.029, -2.037], [4.759, -2.508, -0.561]],
  "species": ["N", "Mo", "N", "Ti", "Mg", "Mg", "N", "N"],
  "frac_coords": [[0.000, 0.250, 0.758], [0.500, 0.500, 0.000], [0.500, 0.244, 0.235], [0.000, 0.000, 0.000], [0.500, 0.000, 0.500], [0.000, 0.500, 0.500], [0.000, 0.750, 0.242], [0.500, 0.756, 0.765]]
}



{
  "formula": "Mg2UMo3N6",
  "functional": "PBE",
  "state": "relaxed",
  "raw_formation_energy_ev_per_atom": -0.78,
  "space_group": "C2/m, No. 12",
  "lattice_angstrom": [[-3.210, 3.839, 1.861], [-0.400, -4.991, 1.856], [4.705, 1.496, 2.506]],
  "species": ["Mo", "N", "Mg", "Mo", "N", "N", "Mo", "N", "N", "N", "U", "Mg"],
  "frac_coords": [[0.500, 0.500, 0.500], [0.916, 0.575, 0.752], [0.335, 0.665, 0.000], [0.823, 0.177, 0.500], [0.425, 0.084, 0.248], [0.254, 0.254, 0.747], [0.177, 0.823, 0.500], [0.575, 0.916, 0.752], [0.084, 0.425, 0.248], [0.746, 0.746, 0.253], [0.000, 0.000, 0.000], [0.665, 0.335, 0.000]]
}



{
  "formula": "Mg2MoWN4",
  "functional": "PBE",
  "state": "relaxed",
  "raw_formation_energy_ev_per_atom": -0.65,
  "space_group": "P2/m, No. 10",
  "lattice_angstrom": [[2.973, 0.000, 0.000], [0.000, 5.152, 0.086], [0.000, -1.805, 5.234]],
  "species": ["Mo", "Mg", "Mg", "N", "N", "W", "N", "N"],
  "frac_coords": [[0.500, 0.500, 0.000], [0.000, 0.500, 0.500], [0.500, 0.000, 0.500], [0.000, 0.248, 0.753], [0.500, 0.756, 0.754], [0.000, 0.000, 0.000], [0.500, 0.244, 0.246], [0.000, 0.752, 0.247]]
}



{
  "formula": "Mg2ZnMoN4",
  "functional": "PBE",
  "state": "relaxed",
  "raw_formation_energy_ev_per_atom": -0.57,
  "space_group": "I-42m, No. 121",
  "lattice_angstrom": [[4.689, 0.195, 0.000], [-0.195, 4.689, 0.000], [-2.247, -2.442, 4.698]],
  "species": ["N", "N", "Mo", "N", "Mg", "Mg", "N", "Zn"],
  "frac_coords": [[0.616, 0.616, 0.768], [0.153, 0.153, 0.768], [0.500, 0.500, 0.000], [0.384, 0.847, 0.232], [0.750, 0.250, 0.500], [0.250, 0.750, 0.500], [0.847, 0.384, 0.232], [0.000, 0.000, 0.000]]
}



{
  "formula": "Na3MgMo",
  "functional": "PBE",
  "state": "relaxed",
  "e_form_ev_per_fu": 6.28,
  "space_group": "Pm-3m, No. 221",
  "lattice_angstrom": [[-1.895, -5.604, 0.072], [4.263, -1.490, -3.821], [3.637, -1.172, 4.516]],
  "species": ["Mo", "Na", "Mg", "Na", "Na"],
  "frac_coords": [[0.000, 0.000, 0.000], [0.000, 0.500, 0.000], [0.500, 0.500, 0.500], [0.000, 0.000, 0.500], [0.500, 0.000, 0.000]]
}



{
  "formula": "Na3MgMo",
  "functional": "PBE",
  "state": "relaxed",
  "e_form_ev_per_fu": 6.40,
  "space_group": "Pm-3m, No. 221",
  "lattice_angstrom": [[5.749, 0.000, 0.000], [0.000, 5.749, 0.000], [0.000, 0.000, 5.749]],
  "species": ["Mg", "Na", "Na", "Mo", "Na"],
  "frac_coords": [[0.000, 0.000, 0.000], [0.000, 0.000, 0.500], [0.000, 0.500, 0.000], [0.500, 0.500, 0.500], [0.500, 0.000, 0.000]]
}



{
  "formula": "NaMg6Mo",
  "functional": "PBE",
  "state": "relaxed",
  "e_form_ev_per_fu": 1.79,
  "space_group": "P-6m2, No. 187",
  "lattice_angstrom": [[3.125, -5.412, 0.000], [3.125, 5.412, 0.000], [0.000, 0.000, 4.976]],
  "species": ["Mg", "Mg", "Mg", "Mo", "Mg", "Mg", "Na", "Mg"],
  "frac_coords": [[0.422, 0.086, 0.500], [0.914, 0.578, 0.500], [0.914, 0.086, 0.500], [0.417, 0.583, 0.500], [0.108, 0.429, 0.000], [0.571, 0.892, 0.000], [0.083, 0.917, 0.000], [0.571, 0.429, 0.000]]
}



{
  "formula": "Na2Mg2Mo",
  "functional": "PBE",
  "state": "relaxed",
  "e_form_ev_per_fu": 3.93,
  "space_group": "I4/mmm, No. 139",
  "lattice_angstrom": [[3.784, 0.000, 0.000], [0.000, 3.784, 0.000], [1.892, 1.892, 8.301]],
  "species": ["Mg", "Na", "Mg", "Na", "Mo"],
  "frac_coords": [[0.584, 0.584, 0.833], [0.250, 0.750, 0.500], [0.416, 0.416, 0.167], [0.750, 0.250, 0.500], [0.000, 0.000, 0.000]]
}



{
  "formula": "NaMg6Mo",
  "functional": "PBE",
  "state": "relaxed",
  "e_form_ev_per_fu": 1.70,
  "space_group": "P4/mmm, No. 123",
  "lattice_angstrom": [[6.254, 0.000, 0.000], [0.000, 6.254, 0.000], [0.000, 0.000, 4.369]],
  "species": ["Mg", "Mg", "Na", "Mg", "Mg", "Mg", "Mo", "Mg"],
  "frac_coords": [[0.771, 0.229, 0.000], [0.500, 0.000, 0.500], [0.500, 0.500, 0.500], [0.229, 0.229, 0.000], [0.000, 0.500, 0.500], [0.229, 0.771, 0.000], [0.000, 0.000, 0.500], [0.771, 0.771, 0.000]]
}



{
  "formula": "Na2Mg2Mo",
  "functional": "PBE",
  "state": "relaxed",
  "e_form_ev_per_fu": 4.35,
  "space_group": "P4/mbm, No. 127",
  "lattice_angstrom": [[-6.724, -2.075, -5.123], [1.561, -8.452, 1.374], [-1.779, 0.048, 2.315]],
  "species": ["Na", "Na", "Mg", "Na", "Na", "Mg", "Mo", "Mo", "Mg", "Mg"],
  "frac_coords": [[0.372, 0.128, 0.500], [0.872, 0.372, 0.500], [0.176, 0.324, 0.000], [0.128, 0.628, 0.500], [0.628, 0.872, 0.500], [0.676, 0.176, 0.000], [0.500, 0.500, 0.000], [0.000, 0.000, 0.000], [0.324, 0.824, 0.000], [0.824, 0.676, 0.000]]
}



Record order is preserved below.
E: -6.235, -7.863, -8.854, -8.180, -6.649, -2.021, -1.997, -2.491, -2.546, -2.502, -2.462 eV per atom